Cs2LiHgBi2 | PBE-GGA | optimized geometry

Output
- Size of the total moment: 0.00 Bohr magnetons per cell
- Energy of formation: -1.931 eV per formula unit
- DOS at the Fermi energy: 18.05 states/eV/cell
- Crystal system: orthorhombic
- Uncorrected energy: -2.269 eV per atom

Lattice parameters (Å, degrees): 7.3052 17.7130 7.4755 90.00 90.00 90.00
Closest atoms and distances in Å follow each position.
Space group Ibam (No. 72)
Unique sites:
Cs1 0.2464 0.1658 0.0000 (multiplicity 8)  4 Bi 3.88-3.98, 2 Hg 3.92, 2 Li 3.94
Li1 0.0000 0.5000 0.2500 (multiplicity 4)  4 Bi 3.04
Hg1 0.0000 0.0000 0.2500 (multiplicity 4)  4 Bi 3.05
Bi1 0.2488 0.4116 0.0000 (multiplicity 8)  2 Li 3.04, 2 Hg 3.05